a.
Crystalline Pm3DySn2 at its relaxed geometry, computed with PBE-GGA.

Geometry as POSCAR:
```
Pm3DySn2
1.0
4.608 0.000 0.000
0.000 4.608 0.000
0.000 0.000 8.701
Pm Dy Sn
3 1 2
Direct
0.000 0.000 0.000
0.000 0.500 0.651
0.500 0.000 0.349
0.500 0.500 0.000
0.000 0.500 0.278
0.500 0.000 0.722
```

Output
* total moment: 0.00 μB per formula unit
* DOS at the Fermi energy: 7.32 states/eV per cell

b.
Crystalline Pm3DySn2 at its relaxed geometry, computed with PBE-GGA.

Geometry as POSCAR:
```
Pm3DySn2
1.0
9.114 -2.300 0.000
9.114 2.300 0.000
-4.245 0.000 8.869
Pm Dy Sn
6 2 4
Direct
0.052 0.052 0.189
0.309 0.309 0.610
0.350 0.350 0.019
0.650 0.650 0.981
0.691 0.691 0.390
0.948 0.948 0.811
0.114 0.114 0.620
0.886 0.886 0.380
0.248 0.248 0.223
0.496 0.496 0.646
0.504 0.504 0.354
0.752 0.752 0.777
```

Output
* total moment: 0.14 μB per formula unit
* DOS at the Fermi energy: 13.68 states/eV per cell

Stability order, top to bottom: a, b

a.
Crystalline SrPmDy at its relaxed geometry, computed with PBE-GGA.

Geometry as POSCAR:
```
SrPmDy
1.0
-1.880 1.880 8.116
1.880 -1.880 8.116
1.880 1.880 -8.116
Sr Pm Dy
1 1 1
Direct
0.000 0.000 0.000
0.319 0.319 0.000
0.678 0.678 0.000
```

Output
* total moment: 0.00 μB per formula unit
* DOS at the Fermi energy: 4.19 states/eV per cell

b.
Crystalline SrPmDy at its relaxed geometry, computed with PBE-GGA.

Geometry as POSCAR:
```
SrPmDy
1.0
3.756 0.000 0.000
-1.878 3.253 0.000
0.000 0.000 9.353
Sr Pm Dy
1 1 1
Direct
0.000 0.000 0.000
0.667 0.333 0.358
0.333 0.667 0.652
```

Output
* total moment: 0.00 μB per formula unit
* DOS at the Fermi energy: 4.21 states/eV per cell

Stability order, top to bottom: a, b

a.
Crystalline SrPmDy2 at its relaxed geometry, computed with PBE-GGA.

Geometry as POSCAR:
```
SrPmDy2
1.0
5.234 0.000 0.000
0.000 5.234 0.000
0.000 0.000 5.223
Sr Pm Dy
1 1 2
Direct
0.000 0.000 0.000
0.500 0.500 0.000
0.000 0.500 0.500
0.500 0.000 0.500
```

Output
* total moment: 0.00 μB per formula unit
* DOS at the Fermi energy: 6.92 states/eV per cell

b.
Crystalline SrPmDy2 at its relaxed geometry, computed with PBE-GGA.

Geometry as POSCAR:
```
SrPmDy2
1.0
1.816 1.048 12.833
-1.816 1.048 12.833
0.000 -2.097 12.833
Sr Pm Dy
1 1 2
Direct
0.000 0.000 0.000
0.500 0.500 0.500
0.092 0.092 0.092
0.908 0.908 0.908
```

Output
* total moment: 0.00 μB per formula unit
* DOS at the Fermi energy: 6.12 states/eV per cell

c.
Crystalline SrPmDy2 at its relaxed geometry, computed with PBE-GGA.

Geometry as POSCAR:
```
SrPmDy2
1.0
3.709 0.000 0.000
0.000 3.709 0.000
0.000 0.000 10.624
Sr Pm Dy
1 1 2
Direct
0.000 0.000 0.000
0.000 0.000 0.500
0.500 0.500 0.277
0.500 0.500 0.723
```

Output
* total moment: 0.00 μB per formula unit
* DOS at the Fermi energy: 6.36 states/eV per cell

Stability order, top to bottom: c, a, b